Here is a geometry-optimized TbDyN2 structure from the Alexandria database. Energies are from PBE.

Summary:
total energy: -31.6 eV/cell
SG: R3m, No. 160
ΔE_f (raw): -1439 meV/atom

Unit cell a=6.2532 b=6.2532 c=6.2532 alpha=31.79 beta=31.79 gamma=31.79
Closest atoms and distances in Å follow each position.
Fractional positions:
Tb  0.0000  0.0000  0.0000  6 N 2.43-2.50
Dy  0.8295  0.8295  0.8295  6 N 2.48-2.49
N  0.4125  0.4125  0.4125  3 Tb 2.43, 3 Dy 2.48
N  0.5810  0.5810  0.5810  3 Dy 2.49, 3 Tb 2.50

=====

Here is a geometry-optimized KPW2 structure from the Alexandria database. Energies are from PBE.

Summary:
calculated formation energy: 1.90 eV/f.u.
total energy: -30.5 eV/cell
ΔE to the lowest computed polymorph: 19 kJ/mol of formula units
SG: P4mm, No. 99

Unit cell a=3.2137 b=3.2137 c=8.1231 alpha=90.00 beta=90.00 gamma=90.00
Closest atoms and distances in Å follow each position.
Fractional positions:
K  0.0000  0.0000  0.0000  4 K 3.21, 4 P 3.32
P  0.5000  0.5000  0.2981  5 W 2.60-2.67
W  0.0000  0.0000  0.4529  4 P 2.60, 4 W 2.68
W  0.5000  0.5000  0.6272  1 P 2.67, 4 W 2.68